Al2PtSe: optimized geometry, PBE.

The final energy comes out at -17.7 eV/f.u. Its uncorrected formation energy is -0.18 eV/atom. As for the mass density: 8.3 g/cm3.

The space group is I4/mmm (No. 139) and the conventional cell measures 4.218, 4.218 and 7.360 Å, with angles of 90.00, 90.00 and 90.00 degrees. The inequivalent atoms are Al at (0.000, 0.500, 0.250), Pt at (0.000, 0.000, 0.000) and Se at (0.000, 0.000, 0.500).

---

ZnInAgCl6: optimized geometry, PBE.

The final energy comes out at -26.3 eV/f.u. Its uncorrected formation energy is -0.93 eV/atom. As for the mass density: 3.8 g/cm3.

The space group is P-31c (No. 163) and the conventional cell measures 6.4531, 6.4531 and 12.2138 Å, with angles of 90.00, 90.00 and 120.00 degrees. The inequivalent atoms are Zn at (0.3333, 0.6667, 0.2500), In at (0.3333, 0.6667, 0.7500), Ag at (0.0000, 0.0000, 0.0000) and Cl at (0.0077, 0.3600, 0.1331).

---

ThZrTcPt: optimized geometry, PBE.

The final energy comes out at -34.4 eV/f.u. The value obtained for the energy of formation from the pure elements is -0.51 eV per atom. As for the mass density: 12.3 g/cm3.

The space group is F-43m (No. 216) and the conventional cell measures 6.928, 6.928 and 6.928 Å, with angles of 90.00, 90.00 and 90.00 degrees. The inequivalent atoms are Th at (0.000, 0.000, 0.000), Zr at (0.000, 0.000, 0.500), Tc at (0.250, 0.250, 0.250) and Pt at (0.250, 0.250, 0.750).

---

Nd8AsP5: optimized geometry, PBE.

The final energy comes out at -87.8 eV/f.u. The value obtained for the energy of formation from the pure elements is -1.29 eV per atom. As for the mass density: 6.6 g/cm3.

The space group is I-4 (No. 82) and the conventional cell measures 8.878, 8.878 and 8.836 Å, with angles of 90.00, 90.00 and 90.00 degrees. The inequivalent atoms are Nd at (0.065, 0.180, 0.312), Nd at (0.065, 0.314, 0.939), As at (0.000, 0.500, 0.250), P at (0.000, 0.000, 0.000) and P at (0.127, 0.251, 0.625).

---

Number 1: total magnetization 0.00 μB per cell. Number 2: total magnetization 0.00 μB per cell. Number 3: total magnetization 0.00 μB per cell. Number 4: total magnetization 0.00 μB per cell.